1.
Below is a relaxed K2SnP2 crystal, with properties calculated at the GGA-PBE level.

Cell and atoms, written as POSCAR:
```
K2SnP2
1.0
7.271 0.000 0.000
0.000 7.271 0.000
0.000 0.000 5.221
K Sn P
4 2 4
Cartesian
1.324 2.311 0.000
2.311 5.947 0.000
4.960 1.324 0.000
5.947 4.960 0.000
0.000 0.000 2.610
3.635 3.635 2.610
0.767 4.402 2.610
2.868 0.767 2.610
4.402 6.504 2.610
6.504 2.868 2.610
```

Computed properties:
Magnetic moment in μB/f.u.: 0.00
Density of states at the Fermi level in states/eV per cell: 4.56
Total energy in Ry per atom: -0.2682
Energy relative to the elements in eV/atom: -0.246

2.
Below is a relaxed Cs3AgPd crystal, with properties calculated at the GGA-PBE level.

Cell and atoms, written as POSCAR:
```
Cs3AgPd
1.0
6.686 0.000 0.000
0.000 6.686 0.000
0.000 0.000 6.686
Cs Ag Pd
3 1 1
Cartesian
0.000 0.000 3.343
0.000 3.343 0.000
3.343 0.000 0.000
3.343 3.343 3.343
0.000 0.000 0.000
```

Computed properties:
Magnetic moment in μB/f.u.: 0.00
Density of states at the Fermi level in states/eV per cell: 0.40
Total energy in Ry per atom: -0.1475
Energy relative to the elements in eV/atom: 0.114